The following is a PBE with a Hubbard U calculation of NaCa2Fe5Si8O24 after structural relaxation, from Alexandria via LeMat-Bulk.

Values from the calculation:
As for the total energy: -7.343 eV/atom. Its space group is C2/m.

CIF file:
```
data_NaCa2Fe5Si8O24
_symmetry_space_group_name_H-M 'P 1'
_symmetry_Int_Tables_number 1
_symmetry_space_group_name_Hall 'P 1'
_cell_length_a 10.522
_cell_length_b 10.522
_cell_length_c 5.369
_cell_angle_alpha 83.35
_cell_angle_beta 83.35
_cell_angle_gamma 122.96
loop_
_atom_site_label
_atom_site_fract_x
_atom_site_fract_y
_atom_site_fract_z
_atom_site_occupancy
Si1 0.457 0.122 0.208 1
Si2 0.878 0.543 0.792 1
Si3 0.543 0.878 0.792 1
Si4 0.804 0.636 0.286 1
Si5 0.122 0.457 0.208 1
Si6 0.364 0.196 0.714 1
Si7 0.636 0.804 0.286 1
Si8 0.196 0.364 0.714 1
Fe1 0.822 0.178 0.000 1
Fe2 0.000 0.000 0.000 1
Fe3 0.078 0.922 0.500 1
Fe4 0.178 0.822 0.000 1
Fe5 0.922 0.078 0.500 1
Ca1 0.271 0.729 0.500 1
Ca2 0.729 0.271 0.500 1
O1 0.229 0.470 0.431 1
O2 0.952 0.293 0.287 1
O3 0.527 0.776 0.072 1
O4 0.048 0.707 0.713 1
O5 0.975 0.794 0.217 1
O6 0.876 0.389 0.797 1
O7 0.293 0.952 0.287 1
O8 0.707 0.048 0.713 1
O9 0.794 0.975 0.217 1
O10 0.389 0.876 0.797 1
O11 0.104 0.104 0.284 1
O12 0.473 0.224 0.928 1
O13 0.206 0.025 0.783 1
O14 0.896 0.896 0.716 1
O15 0.530 0.771 0.569 1
O16 0.771 0.530 0.569 1
O17 0.776 0.527 0.072 1
O18 0.224 0.473 0.928 1
O19 0.339 0.339 0.705 1
O20 0.025 0.206 0.783 1
O21 0.470 0.229 0.431 1
O22 0.124 0.611 0.203 1
O23 0.611 0.124 0.203 1
O24 0.661 0.661 0.295 1
Na1 0.500 0.500 0.000 1
```